Compound: BaZr2Ta
Source: Alexandria via LeMat-Bulk
Functional: PBE
Structure: relaxed

Summary:
The space group is I4/mmm. The density of states at the Fermi level comes out at 1.686 states/eV per atom. Its calculated formation energy is 0.80 eV per atom.

a b c (Å): 5.360 5.360 5.360
angles (deg): 125.05 125.05 81.46
Positions (direct):
Zr 0.500 0.500 0.000
Zr 0.000 0.000 0.000
Ba 0.250 0.750 0.500
Ta 0.750 0.250 0.500

Compound: Ba2Zr2Ta
Source: Alexandria via LeMat-Bulk
Functional: PBE
Structure: relaxed

Summary:
The space group is P4/mbm. The density of states at the Fermi level comes out at 1.749 states/eV per atom. Its calculated formation energy is 0.82 eV per atom.

a b c (Å): 7.257 7.257 6.245
angles (deg): 90.00 90.00 90.00
Positions (direct):
Ta 0.500 0.500 0.000
Ta 0.000 0.000 0.000
Ba 0.175 0.675 0.500
Ba 0.675 0.825 0.500
Ba 0.325 0.175 0.500
Ba 0.825 0.325 0.500
Zr 0.835 0.665 0.000
Zr 0.165 0.335 0.000
Zr 0.665 0.165 0.000
Zr 0.335 0.835 0.000

Compound: Ba2ZrTa
Source: Alexandria via LeMat-Bulk
Functional: PBE
Structure: relaxed

Summary:
The space group is I-42d. The density of states at the Fermi level comes out at 1.596 states/eV per atom. Its calculated formation energy is 1.43 eV per atom.

a b c (Å): 9.364 9.364 7.302
angles (deg): 50.12 50.12 90.00
Positions (direct):
Ta 0.000 0.000 0.000
Ta 0.750 0.250 0.500
Ba 0.654 0.125 0.250
Ba 0.875 0.904 0.750
Ba 0.096 0.625 0.250
Ba 0.375 0.346 0.750
Zr 0.500 0.500 0.000
Zr 0.250 0.750 0.500

Compound: BaZrTa2
Source: Alexandria via LeMat-Bulk
Functional: PBE
Structure: relaxed

Summary:
The space group is Pm. The density of states at the Fermi level comes out at 1.515 states/eV per atom. Its calculated formation energy is 0.47 eV per atom.

a b c (Å): 3.446 3.443 8.923
angles (deg): 89.71 90.00 90.00
Positions (direct):
Ba 0.500 0.390 0.772
Ta 0.000 0.872 0.079
Ta 0.500 0.369 0.230
Zr 0.000 0.869 0.418

Compound: BaZrTa2
Source: Alexandria via LeMat-Bulk
Functional: PBE
Structure: relaxed

Summary:
The space group is Fm-3m. The density of states at the Fermi level comes out at 1.841 states/eV per atom. Its calculated formation energy is 1.15 eV per atom.

a b c (Å): 5.090 5.090 5.090
angles (deg): 60.00 60.00 60.00
Positions (direct):
Ta 0.250 0.250 0.250
Ta 0.750 0.750 0.750
Zr 0.000 0.000 0.000
Ba 0.500 0.500 0.500

Compound: Ba2ZrTa
Source: Alexandria via LeMat-Bulk
Functional: PBE
Structure: relaxed

Summary:
The space group is Cm. The density of states at the Fermi level comes out at 1.239 states/eV per atom. Its calculated formation energy is 0.70 eV per atom.

a b c (Å): 5.109 5.109 8.932
angles (deg): 87.32 87.32 38.62
Positions (direct):
Ta 0.506 0.506 0.417
Ba 0.758 0.758 0.683
Ba 0.995 0.995 0.067
Zr 0.241 0.241 0.333

Compound: Ba2ZrTa
Source: Alexandria via LeMat-Bulk
Functional: PBE
Structure: relaxed

Summary:
The space group is Pmmm. The density of states at the Fermi level comes out at 1.793 states/eV per atom. Its calculated formation energy is 1.10 eV per atom.

a b c (Å): 4.492 4.645 5.772
angles (deg): 90.00 90.00 90.00
Positions (direct):
Ba 0.000 0.000 0.000
Ba 0.500 0.500 0.000
Zr 0.000 0.500 0.500
Ta 0.500 0.000 0.500

Compound: BaZr2Ta
Source: Alexandria via LeMat-Bulk
Functional: PBE
Structure: relaxed

Summary:
The space group is P4/mmm. The density of states at the Fermi level comes out at 1.184 states/eV per atom. Its calculated formation energy is 0.35 eV per atom.

a b c (Å): 3.409 3.412 10.291
angles (deg): 70.64 90.00 90.00
Positions (direct):
Zr 0.000 0.421 0.578
Zr 0.000 0.079 0.922
Ba 0.500 0.250 0.250
Ta 0.500 0.750 0.750

Repeat the first record exactly.
Compound: BaZr2Ta
Source: Alexandria via LeMat-Bulk
Functional: PBE
Structure: relaxed

Summary:
The space group is I4/mmm. The density of states at the Fermi level comes out at 1.686 states/eV per atom. Its calculated formation energy is 0.80 eV per atom.

a b c (Å): 5.360 5.360 5.360
angles (deg): 125.05 125.05 81.46
Positions (direct):
Zr 0.500 0.500 0.000
Zr 0.000 0.000 0.000
Ba 0.250 0.750 0.500
Ta 0.750 0.250 0.500

Question: Among the records above, which one has the lowest calculated formation energy?
Answer: number 8

Question: Look up the calculated formation energy of the second one.
Answer: 0.82 eV per atom